(1)
LiFeCl4 | PBE-GGA | optimized geometry

Its uncorrected energy is -24.32 eV per cell. The value obtained for the volume is 27.2 Å³/atom. The space group is I-4 (82). Its magnetic moment is 5.0 μB/cell.

abc: 6.4036 6.4036 6.4036
angles: 126.70 126.70 78.74
Closest atoms and distances in Å follow each position.
Element x y z (fractional)
Li  0.0000  0.0000  0.0000  4 Cl 2.37
Fe  0.7500  0.2500  0.5000  4 Cl 2.21
Cl  0.0959  0.6027  0.9521  1 Fe 2.21, 1 Li 2.37
Cl  0.3973  0.3494  0.4932  1 Fe 2.21, 1 Li 2.37
Cl  0.6506  0.1438  0.0479  1 Fe 2.21, 1 Li 2.37
Cl  0.8562  0.9041  0.5068  1 Fe 2.21, 1 Li 2.37

---

(2)
CsAu3N5 | PBE-GGA | optimized geometry

Its uncorrected energy is -36.15 eV per cell. The value obtained for the volume is 18.6 Å³/atom. The space group is P6/mmm (191).

abc: 5.4992 5.4992 6.4030
angles: 90.00 90.00 120.00
Closest atoms and distances in Å follow each position.
Element x y z (fractional)
Cs  0.0000  0.0000  0.0000  2 N 3.20
Au  0.0000  0.5000  0.5000  4 N 2.09
Au  0.5000  0.0000  0.5000  4 N 2.09
Au  0.5000  0.5000  0.5000  4 N 2.09
N  0.0000  0.0000  0.5000  6 Au 2.75
N  0.3333  0.6667  0.2867  3 Au 2.09
N  0.3333  0.6667  0.7133  3 Au 2.09
N  0.6667  0.3333  0.2867  3 Au 2.09
N  0.6667  0.3333  0.7133  3 Au 2.09

---

(3)
LuZrGaNi | PBE-GGA | optimized geometry

Its uncorrected energy is -21.52 eV per cell. The value obtained for the volume is 18.6 Å³/atom. The space group is F-43m (216). Its magnetic moment is 1.8 μB/cell.

abc: 4.7211 4.7211 4.7211
angles: 60.00 60.00 60.00
Closest atoms and distances in Å follow each position.
Element x y z (fractional)
Lu  0.0000  0.0000  0.0000  4 Zr 2.89, 4 Ga 2.89
Zr  0.7500  0.7500  0.7500  4 Ni 2.89, 4 Lu 2.89
Ga  0.2500  0.2500  0.2500  4 Ni 2.89, 4 Lu 2.89
Ni  0.5000  0.5000  0.5000  4 Zr 2.89, 4 Ga 2.89

---

(4)
LaErRe | PBE-GGA | optimized geometry

The value obtained for the calculated formation energy is 1.209 eV/atom. Its uncorrected energy is -18.28 eV per cell. The value obtained for the volume is 25.7 Å³/atom. The space group is F-43m (216). Its magnetic moment is 0.6 μB/cell.

abc: 4.7795 4.7795 4.7795
angles: 60.00 60.00 60.00
Closest atoms and distances in Å follow each position.
Element x y z (fractional)
La  0.0000  0.0000  0.0000  4 Re 2.93, 4 Er 2.93
Er  0.7500  0.7500  0.7500  4 La 2.93
Re  0.2500  0.2500  0.2500  4 La 2.93

---

(5)
ScSiIr | PBE-GGA | optimized geometry

Its uncorrected energy is -20.70 eV per cell. The value obtained for the volume is 19.0 Å³/atom. The space group is F-43m (216). Its magnetic moment is 0.0 μB/cell.

abc: 4.3194 4.3194 4.3194
angles: 60.00 60.00 60.00
Closest atoms and distances in Å follow each position.
Element x y z (fractional)
Sc  0.0000  0.0000  0.0000  4 Ir 2.65, 4 Si 2.65
Si  0.2500  0.2500  0.2500  4 Sc 2.65
Ir  0.7500  0.7500  0.7500  4 Sc 2.65

---

(6)
Ta4SiBiC2 | PBE-GGA | optimized geometry

Its uncorrected energy is -77.69 eV per cell. The value obtained for the volume is 15.4 Å³/atom. The space group is P-6m2 (187). Its magnetic moment is 0.0 μB/cell.

abc: 3.2996 3.2996 13.0375
angles: 90.00 90.00 120.00
Closest atoms and distances in Å follow each position.
Element x y z (fractional)
Ta  0.0000  0.0000  0.1422  3 C 2.24
Ta  0.0000  0.0000  0.8578  3 C 2.24
Ta  0.3333  0.6667  0.3164  3 C 2.19
Ta  0.3333  0.6667  0.6836  3 C 2.19
Si  0.3333  0.6667  0.0000  6 Ta 2.66
Bi  0.0000  0.0000  0.5000  6 Ta 3.06, 6 Bi 3.30
C  0.6667  0.3333  0.2329  6 Ta 2.19-2.24
C  0.6667  0.3333  0.7671  6 Ta 2.19-2.24